## MnIrNF2 (PBE with a Hubbard U)

Data for MnIrNF2 after structural relaxation.

```
MnIrNF2
1.0
-2.740 -1.675 3.160
3.221 0.575 3.098
-1.273 3.392 0.694
N Ir Mn F
1 1 1 2
direct
0.000 0.000 0.500 N
0.000 0.000 0.000 Ir
0.500 0.500 0.500 Mn
0.000 0.500 0.000 F
0.500 0.000 0.000 F
```

Excess energy over the best structure of this formula in the dataset in meV per atom: 0.0
N(E_F) in states/eV/f.u.: 1.171